Below is crystalline Ba2SnMoC at its relaxed geometry, with properties calculated at the PBE level.

For the formation energy, the calculation gives 0.31 eV/atom. The calculation puts the magnetic moment at 0.43 μB per atom.

The structure belongs to space group P4/mmm (No. 123); the cell edges are 6.031, 6.031 and 4.108 Å and the angles 90.00°, 90.00° and 90.00°. The asymmetric unit holds Ba at (0.000, 0.500, 0.000), Sn at (0.000, 0.000, 0.500), Mo at (0.500, 0.500, 0.500) and C at (0.500, 0.500, 0.000).